Compound: GaSn2N
Source: Alexandria
Functional: PBE
Structure: optimized geometry

Computed properties:
* ΔE to the lowest computed polymorph: 629 meV per atom
* calculated density: 4860 kg/m3
* SG: No. 166
* ΔE_f (raw): 56.8 kJ/mol of atoms

Lattice parameters (Å, degrees): 4.299 4.299 7.291 72.85 72.85 60.00
Fractional positions:
Sn  0.095  0.095  0.715
Sn  0.905  0.905  0.285
Ga  0.500  0.500  0.500
N  0.000  0.000  0.000

***

Compound: GaSn2N
Source: Alexandria
Functional: PBE
Structure: optimized geometry

Computed properties:
* ΔE to the lowest computed polymorph: 0 meV per atom
* calculated density: 6637 kg/m3
* SG: No. 8
* ΔE_f (raw): -3.9 kJ/mol of atoms

Lattice parameters (Å, degrees): 9.013 3.229 5.630 90.00 101.24 90.00
Fractional positions:
Ga  0.988  0.000  0.213
Ga  0.988  0.500  0.713
Sn  0.672  0.000  0.126
Sn  0.672  0.500  0.626
Sn  0.316  0.000  0.979
Sn  0.316  0.500  0.479
N  0.061  0.000  0.904
N  0.061  0.500  0.404

***

Compound: GaSnN3
Source: Alexandria
Functional: PBE
Structure: optimized geometry

Computed properties:
* calculated density: 5135 kg/m3
* SG: No. 221
* ΔE_f (raw): 159.7 kJ/mol of atoms

Lattice parameters (Å, degrees): 4.208 4.208 4.208 90.00 90.00 90.00
Fractional positions:
Sn  0.000  0.000  0.000
Ga  0.500  0.500  0.500
N  0.000  0.500  0.000
N  0.000  0.000  0.500
N  0.500  0.000  0.000

***

- The lowest calculated density belongs to which entry?
  number 1

***

- Among the records above, which one has the lowest ΔE_f (raw)?
  number 2

***

- Number 3 is which compound?
  GaSnN3

***

- Among the records above, which one has the highest calculated density?
  number 2